# 1
LuBiPO | PBE | relaxed

Values from the calculation:
ΔE to the lowest computed polymorph: 310 meV per atom
Volume: 19.26 Å³ per atom

Cell lengths 5.3237, 5.3237, 5.4375 Å; angles 90.00, 90.00, 90.00 degrees
Last column: nearest neighbours and their distance in Å.
Space group P4/nmm (No. 129, origin choice 2)
Inequivalent atoms, fractional coordinates:
Lu (0.2500, 0.7500, 0.0000)  4 P 2.66, 2 O 2.72
Bi (0.2500, 0.2500, 0.4874)  4 O 2.66, 2 P 2.70-2.73
P (0.2500, 0.2500, 0.9848)  4 Lu 2.66, 2 Bi 2.70-2.73
O (0.2500, 0.7500, 0.5000)  4 Bi 2.66, 2 Lu 2.72

---

# 2
YHoGe2Ir | PBE | relaxed

Values from the calculation:
ΔE to the lowest computed polymorph: 4 meV per atom
Volume: 20.83 Å³ per atom

Cell lengths 10.5255, 4.3036, 10.3083 Å; angles 90.00, 116.84, 90.00 degrees
Last column: nearest neighbours and their distance in Å.
Space group C2/m (No. 12)
Inequivalent atoms, fractional coordinates:
Y (0.0081, 0.0000, 0.3295)  4 Ir 2.97-3.32, 7 Ge 3.00-3.27
Ho (0.1899, 0.0000, 0.1184)  2 Ir 2.99, 6 Ge 3.03-3.12
Ge (0.0211, 0.5000, 0.8849)  1 Ir 2.58, 1 Ge 2.60
Ge (0.1469, 0.5000, 0.5531)  3 Ir 2.51-2.74, 1 Ge 2.77
Ir (0.2282, 0.5000, 0.3349)  4 Ge 2.51-2.74

---

# 3
NaSr3Pd | PBE | relaxed

Values from the calculation:
ΔE to the lowest computed polymorph: 0 meV per atom
Volume: 43.34 Å³ per atom

Cell lengths 6.0063, 6.0063, 6.0063 Å; angles 90.00, 90.00, 90.00 degrees
Last column: nearest neighbours and their distance in Å.
Space group Pm-3m (No. 221)
Inequivalent atoms, fractional coordinates:
Na (0.0000, 0.0000, 0.0000)  12 Sr 4.25
Sr (0.0000, 0.5000, 0.5000)  2 Pd 3.00
Pd (0.5000, 0.5000, 0.5000)  6 Sr 3.00

---

# 4
NbBr2ClO | PBE | relaxed

Values from the calculation:
ΔE to the lowest computed polymorph: 0 meV per atom
Volume: 27.87 Å³ per atom

Cell lengths 13.9204, 3.9647, 11.8078 Å; angles 90.00, 121.19, 90.00 degrees
Last column: nearest neighbours and their distance in Å.
Space group C2 (No. 5)
Inequivalent atoms, fractional coordinates:
Nb (0.1206, 0.0000, 0.1887)  1 O 1.81
Br (0.1044, 0.0535, 0.3856)  1 Nb 2.46
Br (0.1761, 0.5536, 0.7162)  1 Nb 2.46
Cl (0.0931, 0.0608, 0.9577)  2 Nb 2.56
O (0.1121, 0.5444, 0.1760)  1 Nb 1.81